No. 1
First-principles (PBE-GGA) data for a relaxed structure of Th3Mg2Tc3, as listed in OQMD via LeMat-Bulk.

Structure (CIF):
```
data_Th3Mg2Tc3
_cell_length_a 4.740
_cell_length_b 4.740
_cell_length_c 9.770
_cell_angle_alpha 90.00
_cell_angle_beta 90.00
_cell_angle_gamma 90.00
_space_group_name_H-M_alt 'P -4 m 2'
_space_group_IT_number 115
loop_
_space_group_symop_operation_xyz
'x,y,z'
'y,-x,-z'
'-x,-y,z'
'-y,x,-z'
'-x,y,z'
'-y,-x,-z'
'x,-y,z'
'y,x,-z'
loop_
_atom_site_label
_atom_site_type_symbol
_atom_site_fract_x
_atom_site_fract_y
_atom_site_fract_z
Th1 Th 0.000 0.000 0.000
Th2 Th 0.000 0.000 0.500
Th3 Th 0.500 0.500 0.000
Mg1 Mg 0.000 0.500 0.747
Tc1 Tc 0.500 0.500 0.260
Tc2 Tc 0.500 0.500 0.500
```

Summary:
- theoretical density (g cm⁻³) = 7.9
- E_tot (eV/atom) = -6.106


No. 2
First-principles (PBE-GGA) data for a relaxed structure of Th2SbPt2, as listed in OQMD via LeMat-Bulk.

Structure (CIF):
```
data_Th2SbPt2
_cell_length_a 7.831
_cell_length_b 7.831
_cell_length_c 3.972
_cell_angle_alpha 90.00
_cell_angle_beta 90.00
_cell_angle_gamma 90.00
_space_group_name_H-M_alt 'P 4/m b m'
_space_group_IT_number 127
_space_group_name_Hall '-P 4 2ab'
loop_
_atom_site_label
_atom_site_type_symbol
_atom_site_fract_x
_atom_site_fract_y
_atom_site_fract_z
Th1 Th 0.175 0.325 0.000
Sb1 Sb 0.000 0.000 0.500
Pt1 Pt 0.127 0.627 0.500
```

Summary:
- theoretical density (g cm⁻³) = 13.3
- E_tot (eV/atom) = -7.387


No. 3
First-principles (PBE-GGA) data for a relaxed structure of TbGd2Mg3AgAu2, as listed in OQMD via LeMat-Bulk.

Structure (CIF):
```
data_TbGd2Mg3AgAu2
_cell_length_a 4.022
_cell_length_b 13.430
_cell_length_c 7.757
_cell_angle_alpha 90.00
_cell_angle_beta 90.00
_cell_angle_gamma 90.00
_space_group_name_H-M_alt 'A m m 2'
_space_group_IT_number 38
loop_
_space_group_symop_operation_xyz
'x,y,z'
'-x,-y,z'
'-x,y,z'
'x,-y,z'
'x,y+1/2,z+1/2'
'-x,-y+1/2,z+1/2'
'-x,y+1/2,z+1/2'
'x,-y+1/2,z+1/2'
loop_
_atom_site_label
_atom_site_type_symbol
_atom_site_fract_x
_atom_site_fract_y
_atom_site_fract_z
Tb1 Tb 0.000 0.000 0.000
Gd1 Gd 0.000 0.207 0.622
Mg1 Mg 0.500 0.000 0.663
Mg2 Mg 0.500 0.124 0.290
Ag1 Ag 0.000 0.000 0.414
Au1 Au 0.500 0.166 0.915
```

Summary:
- theoretical density (g cm⁻³) = 8.3
- E_tot (eV/atom) = -3.660


No. 4
First-principles (PBE-GGA) data for a relaxed structure of Y2HfNi, as listed in OQMD via LeMat-Bulk.

Structure (CIF):
```
data_Y2HfNi
_cell_length_a 7.057
_cell_length_b 7.057
_cell_length_c 7.057
_cell_angle_alpha 90.00
_cell_angle_beta 90.00
_cell_angle_gamma 90.00
_space_group_name_H-M_alt 'F -4 3 m'
_space_group_IT_number 216
_space_group_name_Hall 'F -4 2 3'
loop_
_atom_site_label
_atom_site_type_symbol
_atom_site_fract_x
_atom_site_fract_y
_atom_site_fract_z
Y1 Y 0.000 0.000 0.000
Y2 Y 0.250 0.250 0.250
Hf1 Hf 0.000 0.000 0.500
Ni1 Ni 0.250 0.250 0.750
```

Summary:
- theoretical density (g cm⁻³) = 7.8
- energy of formation from the pure elements (eV per atom) = 0.32


No. 5
First-principles (PBE-GGA) data for a relaxed structure of TbGd2In3Pd2Au, as listed in OQMD via LeMat-Bulk.

Structure (CIF):
```
data_TbGd2In3Pd2Au
_cell_length_a 3.887
_cell_length_b 13.496
_cell_length_c 7.799
_cell_angle_alpha 90.00
_cell_angle_beta 90.00
_cell_angle_gamma 90.00
_space_group_name_H-M_alt 'A m m 2'
_space_group_IT_number 38
loop_
_space_group_symop_operation_xyz
'x,y,z'
'-x,-y,z'
'-x,y,z'
'x,-y,z'
'x,y+1/2,z+1/2'
'-x,-y+1/2,z+1/2'
'-x,y+1/2,z+1/2'
'x,-y+1/2,z+1/2'
loop_
_atom_site_label
_atom_site_type_symbol
_atom_site_fract_x
_atom_site_fract_y
_atom_site_fract_z
Tb1 Tb 0.000 0.000 0.000
Gd1 Gd 0.000 0.203 0.391
In1 In 0.500 0.000 0.326
In2 In 0.500 0.133 0.728
Pd1 Pd 0.500 0.166 0.094
Au1 Au 0.000 0.000 0.594
```

Summary:
- theoretical density (g cm⁻³) = 10.0
- E_tot (eV/atom) = -4.755


No. 6
First-principles (PBE-GGA) data for a relaxed structure of Gd2Ag3Hg3O12, as listed in OQMD via LeMat-Bulk.

Structure (CIF):
```
data_Gd2Ag3Hg3O12
_cell_length_a 13.555
_cell_length_b 13.555
_cell_length_c 13.555
_cell_angle_alpha 90.00
_cell_angle_beta 90.00
_cell_angle_gamma 90.00
_space_group_name_H-M_alt 'I a -3 d'
_space_group_IT_number 230
_space_group_name_Hall '-I 4bd 2c 3'
loop_
_atom_site_label
_atom_site_type_symbol
_atom_site_fract_x
_atom_site_fract_y
_atom_site_fract_z
Gd1 Gd 0.000 0.000 0.000
Ag1 Ag 0.000 0.250 0.375
Hg1 Hg 0.000 0.250 0.125
O1 O 0.011 0.040 0.662
```

Summary:
- theoretical density (g cm⁻³) = 7.6
- ΔE to the lowest computed polymorph (eV/f.u.) = 0.000


No. 7
First-principles (PBE-GGA) data for a relaxed structure of TlPIrO, as listed in OQMD via LeMat-Bulk.

Structure (CIF):
```
data_TlPIrO
_cell_length_a 4.200
_cell_length_b 4.200
_cell_length_c 7.994
_cell_angle_alpha 90.00
_cell_angle_beta 90.00
_cell_angle_gamma 90.00
_space_group_name_H-M_alt 'P 4/n m m'
_space_group_IT_number 129
loop_
_space_group_symop_operation_xyz
'x,y,z'
'-x,-y,-z'
'-y+1/2,x,z'
'y+1/2,-x,-z'
'-x+1/2,-y+1/2,z'
'x+1/2,y+1/2,-z'
'y,-x+1/2,z'
'-y,x+1/2,-z'
'x+1/2,-y,-z'
'-x+1/2,y,z'
'-y,-x,-z'
'y,x,z'
'-x,y+1/2,-z'
'x,-y+1/2,z'
'y+1/2,x+1/2,-z'
'-y+1/2,-x+1/2,z'
loop_
_atom_site_label
_atom_site_type_symbol
_atom_site_fract_x
_atom_site_fract_y
_atom_site_fract_z
Tl1 Tl 0.250 0.750 0.000
P1 P 0.250 0.250 0.297
Ir1 Ir 0.250 0.250 0.581
O1 O 0.250 0.750 0.500
```

Summary:
- theoretical density (g cm⁻³) = 10.4
- ΔE to the lowest computed polymorph (eV/f.u.) = 3.580


No. 8
First-principles (PBE-GGA) data for a relaxed structure of HoEr2Cu4Ge4, as listed in OQMD via LeMat-Bulk.

Structure (CIF):
```
data_HoEr2Cu4Ge4
_cell_length_a 4.176
_cell_length_b 6.634
_cell_length_c 13.864
_cell_angle_alpha 90.00
_cell_angle_beta 90.00
_cell_angle_gamma 90.00
_space_group_name_H-M_alt 'I m m m'
_space_group_IT_number 71
_space_group_name_Hall '-I 2 2'
loop_
_atom_site_label
_atom_site_type_symbol
_atom_site_fract_x
_atom_site_fract_y
_atom_site_fract_z
Ho1 Ho 0.000 0.000 0.000
Er1 Er 0.000 0.500 0.130
Cu1 Cu 0.000 0.309 0.331
Ge1 Ge 0.000 0.000 0.216
Ge2 Ge 0.000 0.192 0.500
```

Summary:
- theoretical density (g cm⁻³) = 9.0
- E_tot (eV/atom) = -4.907


No. 9
First-principles (PBE-GGA) data for a relaxed structure of BaScHgAu, as listed in OQMD via LeMat-Bulk.

Structure (CIF):
```
data_BaScHgAu
_cell_length_a 7.333
_cell_length_b 7.333
_cell_length_c 7.333
_cell_angle_alpha 90.00
_cell_angle_beta 90.00
_cell_angle_gamma 90.00
_space_group_name_H-M_alt 'F -4 3 m'
_space_group_IT_number 216
_space_group_name_Hall 'F -4 2 3'
loop_
_atom_site_label
_atom_site_type_symbol
_atom_site_fract_x
_atom_site_fract_y
_atom_site_fract_z
Ba1 Ba 0.000 0.000 0.000
Sc1 Sc 0.250 0.250 0.750
Hg1 Hg 0.000 0.000 0.500
Au1 Au 0.250 0.250 0.250
```

Summary:
- theoretical density (g cm⁻³) = 9.8
- ΔE to the lowest computed polymorph (eV/f.u.) = 0.774


No. 10
First-principles (PBE-GGA) data for a relaxed structure of PaNiPd, as listed in OQMD via LeMat-Bulk.

Structure (CIF):
```
data_PaNiPd
_cell_length_a 6.403
_cell_length_b 6.403
_cell_length_c 6.403
_cell_angle_alpha 90.00
_cell_angle_beta 90.00
_cell_angle_gamma 90.00
_space_group_name_H-M_alt 'F -4 3 m'
_space_group_IT_number 216
_space_group_name_Hall 'F -4 2 3'
loop_
_atom_site_label
_atom_site_type_symbol
_atom_site_fract_x
_atom_site_fract_y
_atom_site_fract_z
Pa1 Pa 0.000 0.000 0.000
Ni1 Ni 0.250 0.250 0.750
Pd1 Pd 0.250 0.250 0.250
```

Summary:
- theoretical density (g cm⁻³) = 10.0
- ΔE to the lowest computed polymorph (eV/f.u.) = 1.085
- energy of formation from the pure elements (eV per atom) = 0.10


No. 11
First-principles (PBE-GGA) data for a relaxed structure of BaPuOs, as listed in OQMD via LeMat-Bulk.

Structure (CIF):
```
data_BaPuOs
_cell_length_a 7.076
_cell_length_b 7.076
_cell_length_c 7.076
_cell_angle_alpha 90.00
_cell_angle_beta 90.00
_cell_angle_gamma 90.00
_space_group_name_H-M_alt 'F -4 3 m'
_space_group_IT_number 216
_space_group_name_Hall 'F -4 2 3'
loop_
_atom_site_label
_atom_site_type_symbol
_atom_site_fract_x
_atom_site_fract_y
_atom_site_fract_z
Ba1 Ba 0.000 0.000 0.000
Pu1 Pu 0.000 0.000 0.500
Os1 Os 0.250 0.250 0.250
```

Summary:
- theoretical density (g cm⁻³) = 10.7
- ΔE to the lowest computed polymorph (eV/f.u.) = 0.000


No. 12
First-principles (PBE-GGA) data for a relaxed structure of Li2Lu2In2AgAu, as listed in OQMD via LeMat-Bulk.

Structure (CIF):
```
data_Li2Lu2In2AgAu
_cell_length_a 4.796
_cell_length_b 4.796
_cell_length_c 6.797
_cell_angle_alpha 90.00
_cell_angle_beta 90.00
_cell_angle_gamma 90.00
_space_group_name_H-M_alt 'P -4 m 2'
_space_group_IT_number 115
loop_
_space_group_symop_operation_xyz
'x,y,z'
'y,-x,-z'
'-x,-y,z'
'-y,x,-z'
'-x,y,z'
'-y,-x,-z'
'x,-y,z'
'y,x,-z'
loop_
_atom_site_label
_atom_site_type_symbol
_atom_site_fract_x
_atom_site_fract_y
_atom_site_fract_z
Li1 Li 0.000 0.000 0.000
Li2 Li 0.500 0.500 0.500
Lu1 Lu 0.000 0.500 0.744
In1 In 0.000 0.500 0.246
Ag1 Ag 0.500 0.500 0.000
Au1 Au 0.000 0.000 0.500
```

Summary:
- theoretical density (g cm⁻³) = 9.5
- E_tot (eV/atom) = -3.535


No. 13
First-principles (PBE-GGA) data for a relaxed structure of NaMoPdAu, as listed in OQMD via LeMat-Bulk.

Structure (CIF):
```
data_NaMoPdAu
_cell_length_a 6.504
_cell_length_b 6.504
_cell_length_c 6.504
_cell_angle_alpha 90.00
_cell_angle_beta 90.00
_cell_angle_gamma 90.00
_space_group_name_H-M_alt 'F -4 3 m'
_space_group_IT_number 216
_space_group_name_Hall 'F -4 2 3'
loop_
_atom_site_label
_atom_site_type_symbol
_atom_site_fract_x
_atom_site_fract_y
_atom_site_fract_z
Na1 Na 0.000 0.000 0.000
Mo1 Mo 0.000 0.000 0.500
Pd1 Pd 0.250 0.250 0.250
Au1 Au 0.250 0.250 0.750
```

Summary:
- theoretical density (g cm⁻³) = 10.2
- ΔE to the lowest computed polymorph (eV/f.u.) = 0.000


No. 14
First-principles (PBE-GGA) data for a relaxed structure of SrErIn, as listed in OQMD via LeMat-Bulk.

Structure (CIF):
```
data_SrErIn
_cell_length_a 7.478
_cell_length_b 7.478
_cell_length_c 7.478
_cell_angle_alpha 90.00
_cell_angle_beta 90.00
_cell_angle_gamma 90.00
_space_group_name_H-M_alt 'F -4 3 m'
_space_group_IT_number 216
_space_group_name_Hall 'F -4 2 3'
loop_
_atom_site_label
_atom_site_type_symbol
_atom_site_fract_x
_atom_site_fract_y
_atom_site_fract_z
Sr1 Sr 0.000 0.000 0.000
Er1 Er 0.250 0.250 0.750
In1 In 0.000 0.000 0.500
```

Summary:
- theoretical density (g cm⁻³) = 5.9
- E_tot (eV/atom) = -2.731


No. 15
First-principles (PBE-GGA) data for a relaxed structure of BaEr8P4, as listed in OQMD via LeMat-Bulk.

Structure (CIF):
```
data_BaEr8P4
_cell_length_a 12.574
_cell_length_b 12.574
_cell_length_c 4.733
_cell_angle_alpha 90.00
_cell_angle_beta 90.00
_cell_angle_gamma 90.00
_space_group_name_H-M_alt 'I 4/m'
_space_group_IT_number 87
_space_group_name_Hall '-I 4'
loop_
_atom_site_label
_atom_site_type_symbol
_atom_site_fract_x
_atom_site_fract_y
_atom_site_fract_z
Ba1 Ba 0.000 0.000 0.000
Er1 Er 0.031 0.358 0.000
Er2 Er 0.167 0.239 0.500
P1 P 0.048 0.745 0.500
```

Summary:
- theoretical density (g cm⁻³) = 7.1
- E_tot (eV/atom) = -5.140


No. 16
First-principles (PBE-GGA) data for a relaxed structure of AcThAg, as listed in OQMD via LeMat-Bulk.

Structure (CIF):
```
data_AcThAg
_cell_length_a 7.459
_cell_length_b 7.459
_cell_length_c 7.459
_cell_angle_alpha 90.00
_cell_angle_beta 90.00
_cell_angle_gamma 90.00
_space_group_name_H-M_alt 'F -4 3 m'
_space_group_IT_number 216
_space_group_name_Hall 'F -4 2 3'
loop_
_atom_site_label
_atom_site_type_symbol
_atom_site_fract_x
_atom_site_fract_y
_atom_site_fract_z
Ac1 Ac 0.000 0.000 0.000
Th1 Th 0.000 0.000 0.500
Ag1 Ag 0.250 0.250 0.250
```

Summary:
- theoretical density (g cm⁻³) = 9.1
- ΔE to the lowest computed polymorph (eV/f.u.) = 0.000
- energy of formation from the pure elements (eV per atom) = 0.29


No. 17
First-principles (PBE-GGA) data for a relaxed structure of BeBiIr, as listed in OQMD via LeMat-Bulk.

Structure (CIF):
```
data_BeBiIr
_cell_length_a 5.942
_cell_length_b 5.942
_cell_length_c 5.942
_cell_angle_alpha 90.00
_cell_angle_beta 90.00
_cell_angle_gamma 90.00
_space_group_name_H-M_alt 'F -4 3 m'
_space_group_IT_number 216
_space_group_name_Hall 'F -4 2 3'
loop_
_atom_site_label
_atom_site_type_symbol
_atom_site_fract_x
_atom_site_fract_y
_atom_site_fract_z
Be1 Be 0.000 0.000 0.000
Bi1 Bi 0.250 0.250 0.750
Ir1 Ir 0.250 0.250 0.250
```

Summary:
- theoretical density (g cm⁻³) = 13.0
- E_tot (eV/atom) = -5.198


No. 18
First-principles (PBE-GGA) data for a relaxed structure of Pr3Sn5, as listed in OQMD via LeMat-Bulk.

Structure (CIF):
```
data_Pr3Sn5
_cell_length_a 10.292
_cell_length_b 8.229
_cell_length_c 10.668
_cell_angle_alpha 90.00
_cell_angle_beta 90.00
_cell_angle_gamma 90.00
_space_group_name_H-M_alt 'C m c m'
_space_group_IT_number 63
_space_group_name_Hall '-C 2c 2'
loop_
_atom_site_label
_atom_site_type_symbol
_atom_site_fract_x
_atom_site_fract_y
_atom_site_fract_z
Pr1 Pr 0.000 0.134 0.250
Pr2 Pr 0.201 0.500 0.000
Sn1 Sn 0.000 0.180 0.547
Sn2 Sn 0.000 0.476 0.750
Sn3 Sn 0.212 0.212 0.750
```

Summary:
- theoretical density (g cm⁻³) = 7.5
- E_tot (eV/atom) = -4.961


No. 19
First-principles (PBE-GGA) data for a relaxed structure of Ta2GeW, as listed in OQMD via LeMat-Bulk.

Structure (CIF):
```
data_Ta2GeW
_cell_length_a 6.451
_cell_length_b 6.451
_cell_length_c 6.451
_cell_angle_alpha 90.00
_cell_angle_beta 90.00
_cell_angle_gamma 90.00
_space_group_name_H-M_alt 'F -4 3 m'
_space_group_IT_number 216
_space_group_name_Hall 'F -4 2 3'
loop_
_atom_site_label
_atom_site_type_symbol
_atom_site_fract_x
_atom_site_fract_y
_atom_site_fract_z
Ta1 Ta 0.000 0.000 0.000
Ta2 Ta 0.250 0.250 0.250
Ge1 Ge 0.000 0.000 0.500
W1 W 0.250 0.250 0.750
```

Summary:
- theoretical density (g cm⁻³) = 15.3
- E_tot (eV/atom) = -10.115


No. 20
First-principles (PBE-GGA) data for a relaxed structure of KErFe, as listed in OQMD via LeMat-Bulk.

Structure (CIF):
```
data_KErFe
_cell_length_a 7.194
_cell_length_b 7.194
_cell_length_c 7.194
_cell_angle_alpha 90.00
_cell_angle_beta 90.00
_cell_angle_gamma 90.00
_space_group_name_H-M_alt 'F -4 3 m'
_space_group_IT_number 216
_space_group_name_Hall 'F -4 2 3'
loop_
_atom_site_label
_atom_site_type_symbol
_atom_site_fract_x
_atom_site_fract_y
_atom_site_fract_z
K1 K 0.000 0.000 0.000
Er1 Er 0.250 0.250 0.750
Fe1 Fe 0.000 0.000 0.500
```

Summary:
- theoretical density (g cm⁻³) = 4.7
- ΔE to the lowest computed polymorph (eV/f.u.) = 0.000